A relaxed HfHg crystal, computed with PBE-GGA.

Cell lengths 7.8378, 7.8378, 7.8378 Å; angles 92.44, 92.44, 156.17 degrees
Sites, in units of the cell vectors:
Hf 0.0000 0.3355 0.3355
Hf 0.0000 0.6645 0.6645
Hf 0.3355 0.0000 0.3355
Hf 0.6645 0.0000 0.6645
Hg 0.3452 0.3452 0.6903
Hg 0.3452 0.6548 0.0000
Hg 0.6548 0.3452 0.0000
Hg 0.6548 0.6548 0.3097

Output
- Energy of formation: 25 meV/atom
- Calculated volume: 47.6 Å³/f.u.
- Total magnetization: 0.00 μB/cell

---

A relaxed BeCuPt2 crystal, computed with PBE-GGA.

Cell lengths 2.8028, 2.8028, 6.4909 Å; angles 90.00, 90.00, 90.00 degrees
Sites, in units of the cell vectors:
Be 0.0000 0.0000 0.0000
Cu 0.0000 0.0000 0.5000
Pt 0.5000 0.5000 0.2203
Pt 0.5000 0.5000 0.7797

Output
- Energy of formation: -500 meV/atom
- Calculated volume: 51.0 Å³/f.u.
- Total magnetization: 0.00 μB/cell

---

A relaxed Ce6SbRu crystal, computed with PBE-GGA.

Cell lengths 6.1825, 6.1825, 6.2520 Å; angles 101.39, 101.39, 101.32 degrees
Sites, in units of the cell vectors:
Ce 0.0845 0.6768 0.6883
Ce 0.3171 0.3171 0.9087
Ce 0.3232 0.9155 0.3117
Ce 0.6768 0.0845 0.6883
Ce 0.6829 0.6829 0.0913
Ce 0.9155 0.3232 0.3117
Sb 0.5000 0.5000 0.5000
Ru 0.0000 0.0000 0.0000

Output
- Calculated volume: 222.7 Å³/f.u.
- Formation energy from raw total energies: -0.249 eV per atom
- Total magnetization: 3.49 μB/cell

---

A relaxed RbSc crystal, computed with PBE-GGA.

Cell lengths 6.5176, 6.5176, 6.5176 Å; angles 60.00, 60.00, 60.00 degrees
Sites, in units of the cell vectors:
Rb 0.0000 0.0000 0.0000
Sc 0.2500 0.2500 0.2500

Output
- Energy of formation: 1804 meV/atom
- Calculated volume: 195.8 Å³/f.u.
- Total magnetization: 2.01 μB/cell

---

A relaxed Sc2MoPt crystal, computed with PBE-GGA.

Cell lengths 9.7134, 9.7134, 9.7134 Å; angles 18.00, 18.00, 18.00 degrees
Sites, in units of the cell vectors:
Sc 0.0000 0.0000 0.0000
Sc 0.2326 0.2326 0.2326
Mo 0.7473 0.7473 0.7473
Pt 0.4891 0.4891 0.4891

Output
- Energy of formation: 16 meV/atom
- Calculated volume: 76.4 Å³/f.u.
- Total magnetization: 0.22 μB/cell

---

A relaxed Ba3Te2I crystal, computed with PBE-GGA.

Cell lengths 9.7232, 9.7232, 13.9374 Å; angles 90.00, 90.00, 149.90 degrees
Sites, in units of the cell vectors:
Ba 0.0054 0.9946 0.7500
Ba 0.3680 0.6320 0.0099
Ba 0.3680 0.6320 0.4901
Ba 0.6320 0.3680 0.5099
Ba 0.6320 0.3680 0.9901
Ba 0.9946 0.0054 0.2500
Te 0.0000 0.0000 0.0000
Te 0.0000 0.0000 0.5000
Te 0.3721 0.6279 0.2500
Te 0.6279 0.3721 0.7500
I 0.3679 0.6321 0.7500
I 0.6321 0.3679 0.2500

Output
- Calculated volume: 330.4 Å³/f.u.
- Formation energy from raw total energies: -1.435 eV per atom
- Total magnetization: 1.72 μB/cell

---

A relaxed Cs2KGePt crystal, computed with PBE-GGA.

Cell lengths 7.1013, 7.1013, 4.7768 Å; angles 90.00, 90.00, 90.00 degrees
Sites, in units of the cell vectors:
Cs 0.0000 0.5000 0.0000
Cs 0.5000 0.0000 0.0000
K 0.0000 0.0000 0.5000
Ge 0.5000 0.5000 0.5000
Pt 0.5000 0.5000 0.0000

Output
- Energy of formation: -67 meV/atom
- Calculated volume: 240.9 Å³/f.u.
- Total magnetization: 0.40 μB/cell

---

A relaxed SbRhW2 crystal, computed with PBE-GGA.

Cell lengths 5.1013, 5.1013, 4.5455 Å; angles 100.22, 100.22, 35.53 degrees
Sites, in units of the cell vectors:
Sb 0.0000 0.0000 0.0000
Rh 0.5000 0.5000 0.5000
W 0.2444 0.2444 0.7339
W 0.7556 0.7556 0.2661

Output
- Calculated volume: 67.5 Å³/f.u.
- Formation energy from raw total energies: 0.252 eV per atom
- Total magnetization: 0.00 μB/cell

---

A relaxed LiZn3S crystal, computed with PBE-GGA.

Cell lengths 4.8577, 4.8577, 4.8577 Å; angles 90.00, 90.00, 90.00 degrees
Sites, in units of the cell vectors:
Li 0.0000 0.0000 0.0000
Zn 0.0000 0.5000 0.5000
Zn 0.5000 0.0000 0.5000
Zn 0.5000 0.5000 0.0000
S 0.5000 0.5000 0.5000

Output
- Calculated volume: 114.6 Å³/f.u.
- Formation energy from raw total energies: 0.359 eV per atom
- Total magnetization: 0.00 μB/cell

---

A relaxed Nd2Y2Se2S3 crystal, computed with PBE-GGA.

Cell lengths 8.4708, 8.4708, 8.4708 Å; angles 142.78, 142.78, 53.66 degrees
Sites, in units of the cell vectors:
Nd 0.2005 0.2005 0.0000
Nd 0.7995 0.7995 0.0000
Y 0.0000 0.5000 0.5000
Y 0.5000 0.0000 0.5000
Se 0.3983 0.3983 0.0000
Se 0.6017 0.6017 0.0000
S 0.0000 0.0000 0.0000
S 0.2500 0.7500 0.5000
S 0.7500 0.2500 0.5000

Output
- Calculated volume: 221.0 Å³/f.u.
- Formation energy from raw total energies: -1.692 eV per atom
- Total magnetization: 0.00 μB/cell

---

A relaxed LiMgPb2 crystal, computed with PBE-GGA.

Cell lengths 5.7895, 5.7895, 5.3499 Å; angles 98.97, 98.97, 34.77 degrees
Sites, in units of the cell vectors:
Li 0.0000 0.0000 0.0000
Mg 0.7515 0.7515 0.3102
Pb 0.2558 0.2558 0.8253
Pb 0.4985 0.4985 0.4936

Output
- Energy of formation: -132 meV/atom
- Calculated volume: 100.9 Å³/f.u.
- Total magnetization: 0.00 μB/cell

---

A relaxed ReOsCl2 crystal, computed with PBE-GGA.

Cell lengths 2.8981, 2.8981, 11.5116 Å; angles 90.00, 90.00, 122.79 degrees
Sites, in units of the cell vectors:
Re 0.0000 0.0000 0.0000
Os 0.0000 0.0000 0.5000
Cl 0.5000 0.5000 0.1706
Cl 0.5000 0.5000 0.8294

Output
- Calculated volume: 81.3 Å³/f.u.
- Formation energy from raw total energies: 1.094 eV per atom
- Total magnetization: 1.42 μB/cell

---

A relaxed BiSeO5 crystal, computed with PBE-GGA.

Cell lengths 5.7183, 5.9337, 8.0609 Å; angles 69.21, 69.77, 88.48 degrees
Sites, in units of the cell vectors:
Bi 0.0000 0.0000 0.0000
Bi 0.0000 0.0000 0.5000
Se 0.4007 0.6230 0.2414
Se 0.5993 0.3770 0.7586
O 0.0935 0.9394 0.7549
O 0.2835 0.3418 0.8459
O 0.2904 0.7307 0.4167
O 0.3077 0.7642 0.0555
O 0.3218 0.3263 0.3224
O 0.6782 0.6737 0.6776
O 0.6923 0.2358 0.9445
O 0.7096 0.2693 0.5833
O 0.7165 0.6582 0.1541
O 0.9065 0.0606 0.2451

Output
- Calculated volume: 119.2 Å³/f.u.
- Formation energy from raw total energies: -0.696 eV per atom
- Total magnetization: 0.00 μB/cell

---

A relaxed TiV2H crystal, computed with PBE-GGA.

Cell lengths 4.1337, 4.1337, 4.1337 Å; angles 60.00, 60.00, 60.00 degrees
Sites, in units of the cell vectors:
Ti 0.0000 0.0000 0.0000
V 0.2500 0.2500 0.2500
V 0.7500 0.7500 0.7500
H 0.5000 0.5000 0.5000

Output
- Calculated volume: 49.9 Å³/f.u.
- Calculated total energy: -6.50 eV/atom
- Total magnetization: 0.00 μB/cell

---

A relaxed AgSbPbS3 crystal, computed with PBE-GGA.

Cell lengths 8.7621, 3.9335, 9.1690 Å; angles 90.00, 97.52, 90.00 degrees
Sites, in units of the cell vectors:
Ag 0.0854 0.2500 0.0955
Ag 0.9146 0.7500 0.9045
Sb 0.3388 0.7500 0.3603
Sb 0.6612 0.2500 0.6397
Pb 0.1814 0.2500 0.7470
Pb 0.8186 0.7500 0.2530
S 0.1380 0.2500 0.3764
S 0.2287 0.7500 0.9703
S 0.4099 0.7500 0.6336
S 0.5901 0.2500 0.3664
S 0.7713 0.2500 0.0297
S 0.8620 0.7500 0.6236

Output
- Calculated volume: 156.6 Å³/f.u.
- Formation energy from raw total energies: -0.249 eV per atom
- Total magnetization: 0.00 μB/cell

---

A relaxed HgH2N crystal, computed with PBE-GGA.

Cell lengths 3.6998, 3.6998, 3.6998 Å; angles 60.00, 60.00, 60.00 degrees
Sites, in units of the cell vectors:
Hg 0.0000 0.0000 0.0000
H 0.2500 0.2500 0.2500
H 0.7500 0.7500 0.7500
N 0.5000 0.5000 0.5000

Output
- Calculated volume: 35.8 Å³/f.u.
- Calculated total energy: -2.06 eV/atom
- Total magnetization: 0.00 μB/cell

---

A relaxed OsPdPt2 crystal, computed with PBE-GGA.

Cell lengths 2.7861, 2.7861, 7.8415 Å; angles 90.00, 90.00, 90.00 degrees
Sites, in units of the cell vectors:
Os 0.0000 0.0000 0.0000
Pd 0.0000 0.0000 0.5000
Pt 0.5000 0.5000 0.2386
Pt 0.5000 0.5000 0.7614

Output
- Energy of formation: 43 meV/atom
- Calculated volume: 60.9 Å³/f.u.
- Total magnetization: 0.00 μB/cell

---

A relaxed Ti12Ge6Mo crystal, computed with PBE-GGA.

Cell lengths 7.5491, 7.5491, 7.5491 Å; angles 111.11, 111.11, 111.11 degrees
Sites, in units of the cell vectors:
Ti 0.0451 0.1807 0.3073
Ti 0.1807 0.3073 0.0451
Ti 0.2250 0.6824 0.5927
Ti 0.3073 0.0451 0.1807
Ti 0.3176 0.4073 0.7750
Ti 0.4073 0.7750 0.3176
Ti 0.5927 0.2250 0.6824
Ti 0.6824 0.5927 0.2250
Ti 0.6927 0.9549 0.8193
Ti 0.7750 0.3176 0.4073
Ti 0.8193 0.6927 0.9549
Ti 0.9549 0.8193 0.6927
Ge 0.0875 0.5823 0.8682
Ge 0.1318 0.9125 0.4177
Ge 0.4177 0.1318 0.9125
Ge 0.5823 0.8682 0.0875
Ge 0.8682 0.0875 0.5823
Ge 0.9125 0.4177 0.1318
Mo 0.5000 0.5000 0.5000

Output
- Energy of formation: -346 meV/atom
- Calculated volume: 309.5 Å³/f.u.
- Total magnetization: 0.00 μB/cell

---

A relaxed CaTlSb crystal, computed with PBE-GGA.

Cell lengths 5.4099, 5.4099, 5.4099 Å; angles 60.00, 60.00, 60.00 degrees
Sites, in units of the cell vectors:
Ca 0.0000 0.0000 0.0000
Tl 0.5000 0.5000 0.5000
Sb 0.2500 0.2500 0.2500

Output
- Calculated volume: 112.0 Å³/f.u.
- Formation energy from raw total energies: -0.424 eV per atom
- Total magnetization: 0.00 μB/cell